# PBE MgTaAu, optimized geometry
data_MgTaAu
_chemical_formula_sum 'Mg4 Ta4 Au4'
_symmetry_space_group_name_H-M 'F -4 3 m'
_symmetry_Int_Tables_number 216
_symmetry_space_group_name_Hall 'F -4 2 3'
_cell_length_a 6.241
_cell_length_b 6.241
_cell_length_c 6.241
_cell_angle_alpha 90.00
_cell_angle_beta 90.00
_cell_angle_gamma 90.00
loop_
_atom_site_label
_atom_site_type_symbol
_atom_site_fract_x
_atom_site_fract_y
_atom_site_fract_z
_atom_site_occupancy
Mg1 Mg 0.000 0.000 0.000 1
Ta1 Ta 0.250 0.250 0.750 1
Au1 Au 0.250 0.250 0.250 1
# Formation energy in eV/atom: 0.943
# V in A^3/atom: 20.3
# VASP energy in eV/f.u.: -13.90
# Offset from the most stable computed form in meV/atom: 1140



# PBE RbTlAsSe2, optimized geometry
data_RbTlAsSe2
_chemical_formula_sum 'Rb1 Tl1 As1 Se2'
_symmetry_space_group_name_H-M 'P 4/m m m'
_symmetry_Int_Tables_number 123
_symmetry_space_group_name_Hall '-P 4 2'
_cell_length_a 6.247
_cell_length_b 6.247
_cell_length_c 6.434
_cell_angle_alpha 90.00
_cell_angle_beta 90.00
_cell_angle_gamma 90.00
loop_
_atom_site_label
_atom_site_type_symbol
_atom_site_fract_x
_atom_site_fract_y
_atom_site_fract_z
_atom_site_occupancy
Rb1 Rb 0.000 0.000 0.000 1
Tl1 Tl 0.500 0.500 0.500 1
As1 As 0.000 0.000 0.500 1
Se1 Se 0.000 0.500 0.000 1
# V in A^3/atom: 50.2
# VASP energy in eV/f.u.: -10.94
# ΔE_f (raw) in meV/atom: 803
# Offset from the most stable computed form in meV/atom: 677



# PBE ErTlCuHg, optimized geometry
data_ErTlCuHg
_chemical_formula_sum 'Er4 Tl4 Cu4 Hg4'
_symmetry_space_group_name_H-M 'F -4 3 m'
_symmetry_Int_Tables_number 216
_symmetry_space_group_name_Hall 'F -4 2 3'
_cell_length_a 7.059
_cell_length_b 7.059
_cell_length_c 7.059
_cell_angle_alpha 90.00
_cell_angle_beta 90.00
_cell_angle_gamma 90.00
loop_
_atom_site_label
_atom_site_type_symbol
_atom_site_fract_x
_atom_site_fract_y
_atom_site_fract_z
_atom_site_occupancy
Er1 Er 0.000 0.000 0.000 1
Tl1 Tl 0.000 0.000 0.500 1
Cu1 Cu 0.250 0.250 0.750 1
Hg1 Hg 0.250 0.250 0.250 1
# Formation energy in eV/atom: -0.122
# V in A^3/atom: 22.0
# VASP energy in eV/f.u.: -11.82



# PBE TaFeAg2, optimized geometry
data_TaFeAg2
_chemical_formula_sum 'Ta2 Fe2 Ag4'
_symmetry_space_group_name_H-M 'I m m 2'
_symmetry_Int_Tables_number 44
_symmetry_space_group_name_Hall 'I 2 -2'
_cell_length_a 3.141
_cell_length_b 4.709
_cell_length_c 8.870
_cell_angle_alpha 90.00
_cell_angle_beta 90.00
_cell_angle_gamma 90.00
loop_
_atom_site_label
_atom_site_type_symbol
_atom_site_fract_x
_atom_site_fract_y
_atom_site_fract_z
_atom_site_occupancy
Ta1 Ta 0.000 0.000 0.000 1
Fe1 Fe 0.000 0.500 0.304 1
Ag1 Ag 0.000 0.000 0.554 1
Ag2 Ag 0.000 0.500 0.781 1
# Formation energy in eV/atom: 0.415
# V in A^3/atom: 16.4
# VASP energy in eV/f.u.: -24.36
# Offset from the most stable computed form in meV/atom: 197



# PBE PmTlZn2, optimized geometry
data_PmTlZn2
_chemical_formula_sum 'Pm2 Tl2 Zn4'
_symmetry_space_group_name_H-M 'P m m a'
_symmetry_Int_Tables_number 51
_symmetry_space_group_name_Hall '-P 2a 2a'
_cell_length_a 5.278
_cell_length_b 4.285
_cell_length_c 7.822
_cell_angle_alpha 90.00
_cell_angle_beta 90.00
_cell_angle_gamma 90.00
loop_
_atom_site_label
_atom_site_type_symbol
_atom_site_fract_x
_atom_site_fract_y
_atom_site_fract_z
_atom_site_occupancy
Pm1 Pm 0.250 0.000 0.205 1
Tl1 Tl 0.250 0.500 0.861 1
Zn1 Zn 0.000 0.500 0.500 1
Zn2 Zn 0.250 0.000 0.592 1
# Formation energy in eV/atom: -0.278
# V in A^3/atom: 22.1
# VASP energy in eV/f.u.: -10.78



# PBE PmPuMnRh, optimized geometry
data_PmPuMnRh
_chemical_formula_sum 'Pm4 Pu4 Mn4 Rh4'
_symmetry_space_group_name_H-M 'F -4 3 m'
_symmetry_Int_Tables_number 216
_symmetry_space_group_name_Hall 'F -4 2 3'
_cell_length_a 6.941
_cell_length_b 6.941
_cell_length_c 6.941
_cell_angle_alpha 90.00
_cell_angle_beta 90.00
_cell_angle_gamma 90.00
loop_
_atom_site_label
_atom_site_type_symbol
_atom_site_fract_x
_atom_site_fract_y
_atom_site_fract_z
_atom_site_occupancy
Pm1 Pm 0.000 0.000 0.000 1
Pu1 Pu 0.000 0.000 0.500 1
Mn1 Mn 0.250 0.250 0.250 1
Rh1 Rh 0.250 0.250 0.750 1
# Formation energy in eV/atom: -0.155
# V in A^3/atom: 20.9
# VASP energy in eV/f.u.: -36.23



# PBE Pr2Dy12Tm5, optimized geometry
data_Pr2Dy12Tm5
_chemical_formula_sum 'Pr4 Dy24 Tm10'
_symmetry_space_group_name_H-M 'C 1 2/m 1'
_symmetry_Int_Tables_number 12
_symmetry_space_group_name_Hall '-C 2y'
_cell_length_a 15.745
_cell_length_b 9.193
_cell_length_c 8.494
_cell_angle_alpha 90.00
_cell_angle_beta 90.80
_cell_angle_gamma 90.00
loop_
_atom_site_label
_atom_site_type_symbol
_atom_site_fract_x
_atom_site_fract_y
_atom_site_fract_z
_atom_site_occupancy
Pr1 Pr 0.000 0.186 0.000 1
Dy1 Dy 0.059 0.000 0.329 1
Dy2 Dy 0.096 0.500 0.883 1
Dy3 Dy 0.126 0.192 0.650 1
Dy4 Dy 0.158 0.319 0.245 1
Tm1 Tm 0.000 0.500 0.500 1
Tm2 Tm 0.196 0.000 0.008 1
Tm3 Tm 0.232 0.500 0.577 1
# Formation energy in eV/atom: 0.137
# V in A^3/atom: 32.4
# VASP energy in eV/f.u.: -84.55
# Offset from the most stable computed form in meV/atom: 29



# PBE Mo4C23, optimized geometry
data_Mo4C23
_chemical_formula_sum 'Mo8 C46'
_symmetry_space_group_name_H-M 'P m -3 n'
_symmetry_Int_Tables_number 223
_symmetry_space_group_name_Hall '-P 4n 2 3'
_cell_length_a 7.336
_cell_length_b 7.336
_cell_length_c 7.336
_cell_angle_alpha 90.00
_cell_angle_beta 90.00
_cell_angle_gamma 90.00
loop_
_atom_site_label
_atom_site_type_symbol
_atom_site_fract_x
_atom_site_fract_y
_atom_site_fract_z
_atom_site_occupancy
Mo1 Mo 0.000 0.000 0.000 1
Mo2 Mo 0.000 0.250 0.500 1
C1 C 0.000 0.287 0.186 1
C2 C 0.000 0.500 0.250 1
C3 C 0.182 0.182 0.182 1
# Formation energy in eV/atom: 1.505
# V in A^3/atom: 7.3
# VASP energy in eV/f.u.: -214.83



# PBE Sm8InCo2, optimized geometry
data_Sm8InCo2
_chemical_formula_sum 'Sm16 In2 Co4'
_symmetry_space_group_name_H-M 'C 1 2/m 1'
_symmetry_Int_Tables_number 12
_symmetry_space_group_name_Hall '-C 2y'
_cell_length_a 8.775
_cell_length_b 13.564
_cell_length_c 5.358
_cell_angle_alpha 90.00
_cell_angle_beta 102.71
_cell_angle_gamma 90.00
loop_
_atom_site_label
_atom_site_type_symbol
_atom_site_fract_x
_atom_site_fract_y
_atom_site_fract_z
_atom_site_occupancy
Sm1 Sm 0.000 0.247 0.000 1
Sm2 Sm 0.110 0.000 0.802 1
Sm3 Sm 0.199 0.371 0.564 1
In1 In 0.000 0.500 0.000 1
Co1 Co 0.000 0.196 0.500 1
# Formation energy in eV/atom: -0.076
# V in A^3/atom: 28.3
# VASP energy in eV/f.u.: -55.54



# PBE ZnAu4, optimized geometry
data_ZnAu4
_chemical_formula_sum 'Zn3 Au12'
_symmetry_space_group_name_H-M 'R -3 m'
_symmetry_Int_Tables_number 166
_symmetry_space_group_name_Hall '-R 3 2"'
_cell_length_a 2.9818
_cell_length_b 2.9818
_cell_length_c 34.1942
_cell_angle_alpha 90.00
_cell_angle_beta 90.00
_cell_angle_gamma 120.00
loop_
_atom_site_label
_atom_site_type_symbol
_atom_site_fract_x
_atom_site_fract_y
_atom_site_fract_z
_atom_site_occupancy
Zn1 Zn 0.0000 0.0000 0.0000 1
Au1 Au 0.0000 0.0000 0.2014 1
Au2 Au 0.0000 0.0000 0.3950 1
# Formation energy in eV/atom: -0.050
# V in A^3/atom: 17.6
# VASP energy in eV/f.u.: -14.63



# PBE TbTmSeS, optimized geometry
data_TbTmSeS
_chemical_formula_sum 'Tb3 Tm3 Se3 S3'
_symmetry_space_group_name_H-M 'R 3 m'
_symmetry_Int_Tables_number 160
_symmetry_space_group_name_Hall 'R 3 -2"'
_cell_length_a 3.8687
_cell_length_b 3.8687
_cell_length_c 20.6703
_cell_angle_alpha 90.00
_cell_angle_beta 90.00
_cell_angle_gamma 120.00
loop_
_atom_site_label
_atom_site_type_symbol
_atom_site_fract_x
_atom_site_fract_y
_atom_site_fract_z
_atom_site_occupancy
Tb1 Tb 0.0000 0.0000 0.0000 1
Tm1 Tm 0.0000 0.0000 0.1849 1
Se1 Se 0.0000 0.0000 0.4266 1
S1 S 0.0000 0.0000 0.5921 1
# V in A^3/atom: 22.3
# VASP energy in eV/f.u.: -24.14
# ΔE_f (raw) in meV/atom: -1857



# PBE Nd5ErTl4, optimized geometry
data_Nd5ErTl4
_chemical_formula_sum 'Nd5 Er1 Tl4'
_symmetry_space_group_name_H-M 'P 4/m m m'
_symmetry_Int_Tables_number 123
_symmetry_space_group_name_Hall '-P 4 2'
_cell_length_a 3.705
_cell_length_b 3.705
_cell_length_c 22.319
_cell_angle_alpha 90.00
_cell_angle_beta 90.00
_cell_angle_gamma 90.00
loop_
_atom_site_label
_atom_site_type_symbol
_atom_site_fract_x
_atom_site_fract_y
_atom_site_fract_z
_atom_site_occupancy
Nd1 Nd 0.000 0.000 0.000 1
Nd2 Nd 0.000 0.000 0.195 1
Nd3 Nd 0.000 0.000 0.388 1
Er1 Er 0.500 0.500 0.500 1
Tl1 Tl 0.500 0.500 0.097 1
Tl2 Tl 0.500 0.500 0.292 1
# Formation energy in eV/atom: -0.291
# V in A^3/atom: 30.6
# VASP energy in eV/f.u.: -40.78
# Offset from the most stable computed form in meV/atom: 0